No. 1
Computed, not measured: crystalline MgNi2Ge at its relaxed geometry at the PBE level of DFT.

Cell lengths 4.222, 4.222, 4.222 Å; angles 60.00, 60.00, 60.00 degrees
Sites, in units of the cell vectors:
Ge 0.500 0.500 0.500
Ni 0.750 0.750 0.750
Ni 0.000 0.000 0.000
Mg 0.250 0.250 0.250

Computed properties:
* final energy: -17.70 eV/f.u.
* crystal system: cubic
* SG: F-43m (216)

=====

No. 2
Computed, not measured: crystalline Mg2Ni3Ge2 at its relaxed geometry at the PBE level of DFT.

Cell lengths 7.127, 7.127, 7.127 Å; angles 33.90, 33.90, 33.90 degrees
Sites, in units of the cell vectors:
Ni 0.881 0.881 0.881
Ni 0.627 0.627 0.627
Mg 0.757 0.757 0.757
Ge 0.499 0.499 0.499
Ge 0.002 0.002 0.002
Mg 0.240 0.240 0.240
Ni 0.370 0.370 0.370

Computed properties:
* final energy: -31.39 eV/f.u.
* crystal system: trigonal
* SG: R3m (160)

=====

No. 3
Computed, not measured: crystalline MgReNiGe at its relaxed geometry at the PBE level of DFT.

Cell lengths 4.359, 4.359, 4.359 Å; angles 60.00, 60.00, 60.00 degrees
Sites, in units of the cell vectors:
Ge 0.000 0.000 0.000
Ni 0.750 0.750 0.750
Re 0.500 0.500 0.500
Mg 0.250 0.250 0.250

Computed properties:
* final energy: -21.86 eV/f.u.
* crystal system: cubic
* SG: F-43m (216)

=====

No. 4
Computed, not measured: crystalline YMgNiGe at its relaxed geometry at the PBE level of DFT.

Cell lengths 4.649, 4.649, 4.649 Å; angles 60.00, 60.00, 60.00 degrees
Sites, in units of the cell vectors:
Ge 0.000 0.000 0.000
Y 0.500 0.500 0.500
Ni 0.750 0.750 0.750
Mg 0.250 0.250 0.250

Computed properties:
* final energy: -19.08 eV/f.u.
* crystal system: cubic
* SG: F-43m (216)

=====

No. 5
Computed, not measured: crystalline MgZrNiGe at its relaxed geometry at the PBE level of DFT.

Cell lengths 4.533, 4.533, 4.533 Å; angles 60.00, 60.00, 60.00 degrees
Sites, in units of the cell vectors:
Ni 0.750 0.750 0.750
Mg 0.250 0.250 0.250
Ge 0.000 0.000 0.000
Zr 0.500 0.500 0.500

Computed properties:
* final energy: -20.52 eV/f.u.
* crystal system: cubic
* SG: F-43m (216)

=====

No. 6
Computed, not measured: crystalline MgZnGeO4 at its relaxed geometry at the PBE level of DFT.

Cell lengths 5.892, 5.892, 8.274 Å; angles 90.00, 90.00, 90.00 degrees
Sites, in units of the cell vectors:
Mg 0.248 0.000 0.750
O 0.031 0.735 0.748
Ge 0.756 0.500 0.250
O 0.266 0.520 0.518
O 0.735 0.969 0.498
O 0.735 0.031 0.002
O 0.266 0.480 0.982
Zn 0.250 0.250 0.375
O 0.734 0.520 0.482
Zn 0.750 0.250 0.625
Mg 0.000 0.752 0.500
O 0.969 0.265 0.248
Zn 0.250 0.750 0.125
Zn 0.750 0.750 0.875
O 0.480 0.266 0.768
O 0.520 0.734 0.268
O 0.265 0.969 0.502
O 0.734 0.480 0.018
O 0.520 0.266 0.232
O 0.480 0.734 0.732
Ge 0.244 0.500 0.750
Mg 0.000 0.248 0.000
O 0.265 0.031 0.998
Mg 0.752 0.000 0.250
Ge 0.500 0.244 0.000
O 0.031 0.265 0.752
O 0.969 0.735 0.252
Ge 0.500 0.756 0.500

Computed properties:
* final energy: -40.96 eV/f.u.
* energy relative to the lowest polymorph listed for this composition: 0 meV/atom
* crystal system: tetragonal
* SG: P4_122 (91)

=====

No. 7
Computed, not measured: crystalline MgZnGeO4 at its relaxed geometry at the PBE level of DFT.

Cell lengths 5.865, 5.865, 8.288 Å; angles 90.00, 90.00, 90.00 degrees
Sites, in units of the cell vectors:
Ge 0.248 0.248 0.875
Mg 0.000 0.749 0.000
Ge 0.248 0.752 0.625
O 0.500 0.245 0.754
O 0.755 0.999 0.502
O 0.755 0.500 0.004
O 0.245 0.999 0.498
O 0.245 0.001 0.002
Zn 0.751 0.500 0.750
Mg 0.749 0.000 0.750
Zn 0.249 0.500 0.250
Mg 0.251 0.000 0.250
O 0.500 0.245 0.246
Mg 0.000 0.251 0.500
O 0.500 0.755 0.254
O 0.999 0.245 0.252
O 0.245 0.500 0.996
O 0.999 0.755 0.248
O 0.245 0.500 0.504
Ge 0.752 0.752 0.375
O 0.755 0.001 0.998
Zn 0.500 0.249 0.500
Zn 0.500 0.751 0.000
O 0.500 0.755 0.746
Ge 0.752 0.248 0.125
O 0.001 0.245 0.748
O 0.755 0.500 0.496
O 0.001 0.755 0.752

Computed properties:
* final energy: -40.66 eV/f.u.
* energy relative to the lowest polymorph listed for this composition: 44 meV/atom
* crystal system: tetragonal
* SG: P4_122 (91)

=====

No. 8
Computed, not measured: crystalline MgZnGeO4 at its relaxed geometry at the PBE level of DFT.

Cell lengths 5.937, 5.937, 8.272 Å; angles 90.00, 90.00, 90.00 degrees
Sites, in units of the cell vectors:
O 0.729 0.516 0.481
O 0.484 0.271 0.769
O 0.484 0.729 0.731
O 0.516 0.729 0.269
O 0.729 0.969 0.506
Ge 0.752 0.500 0.250
Ge 0.248 0.500 0.750
O 0.271 0.031 0.006
Zn 0.242 0.000 0.750
O 0.969 0.729 0.244
O 0.271 0.516 0.519
Ge 0.500 0.752 0.500
O 0.969 0.271 0.256
Zn 0.000 0.242 0.000
Mg 0.748 0.748 0.875
Mg 0.252 0.748 0.125
Zn 0.000 0.758 0.500
O 0.271 0.484 0.981
O 0.729 0.031 0.994
O 0.031 0.729 0.756
Ge 0.500 0.248 0.000
O 0.031 0.271 0.744
Zn 0.758 0.000 0.250
Mg 0.252 0.252 0.375
O 0.271 0.969 0.494
Mg 0.748 0.252 0.625
O 0.729 0.484 0.019
O 0.516 0.271 0.231

Computed properties:
* final energy: -40.60 eV/f.u.
* energy relative to the lowest polymorph listed for this composition: 51 meV/atom
* crystal system: tetragonal
* SG: P4_122 (91)

=====

No. 9
Computed, not measured: crystalline Mg2GeOs at its relaxed geometry at the PBE level of DFT.

Cell lengths 4.473, 4.473, 4.473 Å; angles 60.00, 60.00, 60.00 degrees
Sites, in units of the cell vectors:
Mg 0.750 0.750 0.750
Os 0.250 0.250 0.250
Mg 0.000 0.000 0.000
Ge 0.500 0.500 0.500

Computed properties:
* final energy: -18.38 eV/f.u.
* crystal system: cubic
* SG: F-43m (216)

=====

No. 10
Computed, not measured: crystalline MgGeOs at its relaxed geometry at the PBE level of DFT.

Cell lengths 4.184, 4.184, 4.184 Å; angles 60.00, 60.00, 60.00 degrees
Sites, in units of the cell vectors:
Os 0.750 0.750 0.750
Ge 0.000 0.000 0.000
Mg 0.250 0.250 0.250

Computed properties:
* final energy: -16.76 eV/f.u.
* crystal system: cubic
* SG: F-43m (216)

=====

No. 11
Computed, not measured: crystalline MgGeOsPb at its relaxed geometry at the PBE level of DFT.

Cell lengths 4.699, 4.699, 4.699 Å; angles 60.00, 60.00, 60.00 degrees
Sites, in units of the cell vectors:
Ge 0.000 0.000 0.000
Os 0.250 0.250 0.250
Mg 0.750 0.750 0.750
Pb 0.500 0.500 0.500

Computed properties:
* final energy: -19.37 eV/f.u.
* energy relative to the lowest polymorph listed for this composition: 0 meV/atom
* crystal system: cubic
* SG: F-43m (216)

=====

No. 12
Computed, not measured: crystalline MgSiGeOs at its relaxed geometry at the PBE level of DFT.

Cell lengths 4.383, 4.383, 4.383 Å; angles 60.00, 60.00, 60.00 degrees
Sites, in units of the cell vectors:
Os 0.250 0.250 0.250
Ge 0.000 0.000 0.000
Si 0.500 0.500 0.500
Mg 0.750 0.750 0.750

Computed properties:
* final energy: -22.59 eV/f.u.
* energy relative to the lowest polymorph listed for this composition: 0 meV/atom
* crystal system: cubic
* SG: F-43m (216)